VASP calculation (GGA+U) on a geometry-optimized Sr3MnCr3O8 structure.

Results
Total DFT energy (no corrections)   -7.005 eV per atom

CIF file:
```
data_Sr3MnCr3O8
_cell_length_a 6.541
_cell_length_b 6.541
_cell_length_c 6.653
_cell_angle_alpha 118.86
_cell_angle_beta 118.86
_cell_angle_gamma 58.27
_symmetry_space_group_name_H-M 'P 1'
_symmetry_Int_Tables_number 1
_symmetry_space_group_name_Hall 'P 1'
loop_
_atom_site_label
_atom_site_fract_x
_atom_site_fract_y
_atom_site_fract_z
_atom_site_occupancy
Sr1 0.000 0.000 0.000 1
Sr2 0.000 0.500 0.000 1
Sr3 0.500 0.000 0.000 1
Mn1 0.000 0.000 0.500 1
Cr1 0.000 0.500 0.500 1
Cr2 0.500 0.000 0.500 1
Cr3 0.500 0.500 0.500 1
O1 0.228 0.718 0.691 1
O2 0.240 0.240 0.699 1
O3 0.248 0.248 0.289 1
O4 0.282 0.772 0.309 1
O5 0.718 0.228 0.691 1
O6 0.752 0.752 0.711 1
O7 0.760 0.760 0.301 1
O8 0.772 0.282 0.309 1
```